Entry 1:
Compound: MnGa3Ru
Source: Alexandria via LeMat-Bulk
Functional: PBE-GGA
Structure: relaxed

Cell lengths 4.889, 4.889, 4.889 Å; angles 90.00, 90.00, 90.00 degrees
Site moments in Bohr magnetons follow the coordinates.
Fractional positions:
Mn1 0.500 0.500 0.500  4.41
Ga1 0.500 0.000 0.000  0.05
Ga2 0.000 0.500 0.000  0.00
Ga3 0.000 0.000 0.500  0.00
Ru1 0.000 0.000 0.000  0.29

space-group type	Pm-3m, No. 221
D(E_F)	0.941	states/eV per atom
distance to the lowest polymorph of the same formula	0	meV per atom
formation energy	0.350	eV per atom


Entry 2:
Compound: Ho6Sc3Tl
Source: Alexandria via LeMat-Bulk
Functional: PBE-GGA
Structure: relaxed

Cell lengths 3.401, 12.382, 13.733 Å; angles 100.43, 90.00, 90.00 degrees
Fractional positions:
Ho1 0.250 0.507 0.312
Ho2 0.250 0.879 0.527
Ho3 0.750 0.778 0.717
Ho4 0.750 0.493 0.688
Ho5 0.750 0.743 0.305
Ho6 0.250 0.222 0.283
Ho7 0.250 0.656 0.885
Ho8 0.250 0.257 0.695
Ho9 0.750 0.121 0.473
Ho10 0.750 0.810 0.078
Ho11 0.750 0.344 0.115
Ho12 0.250 0.190 0.922
Tl1 0.750 0.034 0.720
Tl2 0.250 0.966 0.280
Sc1 0.750 0.075 0.095
Sc2 0.250 0.577 0.096
Sc3 0.250 0.925 0.905
Sc4 0.250 0.373 0.497
Sc5 0.750 0.423 0.904
Sc6 0.750 0.627 0.503

space-group type	P2_1/m, No. 11
D(E_F)	1.482	states/eV per atom
formation energy	0.027	eV per atom


Entry 3:
Compound: Ac2CdSbPd6
Source: Alexandria via LeMat-Bulk
Functional: PBE-GGA
Structure: relaxed

Cell lengths 7.031, 6.838, 9.088 Å; angles 49.98, 48.16, 78.84 degrees
Fractional positions:
Cd1 0.500 0.500 0.000
Ac1 0.754 0.246 0.524
Ac2 0.246 0.754 0.476
Pd1 0.733 0.765 0.006
Pd2 0.267 0.235 0.994
Pd3 0.252 0.747 0.826
Pd4 0.764 0.733 0.497
Pd5 0.748 0.253 0.174
Pd6 0.236 0.267 0.503
Sb1 0.000 0.000 0.000

E_form (uncorrected)	-650	meV per atom
space-group type	C2/m, No. 12
D(E_F)	0.348	states/eV per atom


Question: Look up the D(E_F) of the second one.
Answer: 1.482 states/eV per atom


Question: The highest D(E_F) belongs to which entry?
Answer: Ho6Sc3Tl


Question: D(E_F) of number 3 (Ac2CdSbPd6)?
Answer: 0.348 states/eV per atom